(1)
A plane-wave DFT calculation with GGA-PBE was carried out for a relaxed structure of Tm4Mg3Ru.

VASP energy in eV/atom: -4.190
DOS at the Fermi energy in states/eV/cell: 6.309
Formation energy from the elements in eV per atom: -0.197
Spin magnetization in μB/atom: 0.00

Cell: 3.4321 3.4321 16.8361 Å, 90.00 90.00 90.00°
Closest atoms and distances in Å follow each position.
Space group P4/mmm (No. 123)
Symmetry-distinct sites (fractional):
1 Tm 0.0000 0.0000 0.0954 [2 per cell]  4 Ru 2.91, 1 Tm 3.21
2 Tm 0.0000 0.0000 0.3669 [2 per cell]  8 Mg 3.28-3.30, 4 Tm 3.43
3 Mg 0.5000 0.5000 0.2361 [2 per cell]  8 Tm 3.28-3.39, 4 Mg 3.43
4 Mg 0.5000 0.5000 0.5000 [1 per cell]  8 Tm 3.30, 4 Mg 3.43
5 Ru 0.5000 0.5000 0.0000 [1 per cell]  8 Tm 2.91


(2)
A plane-wave DFT calculation with GGA-PBE was carried out for a relaxed structure of TmMgRu.

VASP energy in eV/atom: -5.199
DOS at the Fermi energy in states/eV/cell: 5.627
Formation energy from the elements in eV per atom: -0.085
Spin magnetization in μB/atom: 0.00

Cell: 4.6413 4.6413 6.2590 Å, 90.00 90.00 90.00°
Closest atoms and distances in Å follow each position.
Space group P4_2/mmc (No. 131)
Symmetry-distinct sites (fractional):
1 Tm 0.0000 0.5000 0.0000 [2 per cell]  4 Ru 2.80, 2 Mg 3.13
2 Mg 0.0000 0.5000 0.5000 [2 per cell]  4 Ru 2.80, 2 Tm 3.13
3 Ru 0.0000 0.0000 0.2500 [2 per cell]  4 Mg 2.80, 4 Tm 2.80, 2 Ru 3.13


(3)
A plane-wave DFT calculation with GGA-PBE was carried out for a relaxed structure of Tm5Mg4Ru.

VASP energy in eV/atom: -3.966
DOS at the Fermi energy in states/eV/cell: 7.315
Formation energy from the elements in eV per atom: -0.164
Spin magnetization in μB/atom: 0.00

Cell: 3.5252 3.5252 19.9778 Å, 90.00 90.00 90.00°
Closest atoms and distances in Å follow each position.
Space group P4/mmm (No. 123)
Symmetry-distinct sites (fractional):
1 Tm 0.0000 0.0000 0.0000 [1 per cell]  8 Mg 3.23, 4 Tm 3.53
2 Tm 0.0000 0.0000 0.2066 [2 per cell]  8 Mg 3.24, 4 Tm 3.53
3 Tm 0.0000 0.0000 0.4209 [2 per cell]  4 Ru 2.95, 1 Tm 3.16
4 Mg 0.5000 0.5000 0.1031 [2 per cell]  8 Tm 3.23-3.24, 4 Mg 3.53
5 Mg 0.5000 0.5000 0.3103 [2 per cell]  8 Tm 3.24-3.33, 4 Mg 3.53
6 Ru 0.5000 0.5000 0.5000 [1 per cell]  8 Tm 2.95


(4)
A plane-wave DFT calculation with GGA-PBE was carried out for a relaxed structure of Tm4MgRu.

VASP energy in eV/atom: -5.061
DOS at the Fermi energy in states/eV/cell: 94.360
Formation energy from the elements in eV per atom: -0.268
Spin magnetization in μB/atom: 0.00

Cell: 13.5314 13.5314 13.5314 Å, 90.00 90.00 90.00°
Closest atoms and distances in Å follow each position.
Space group F-43m (No. 216)
Symmetry-distinct sites (fractional):
1 Tm 0.0000 0.0000 0.1870 [24 per cell]  2 Ru 2.74
2 Tm 0.0618 0.2500 0.2500 [24 per cell]  2 Mg 3.27, 2 Ru 3.45, 10 Tm 3.45-3.60
3 Tm 0.1561 0.1561 0.6561 [16 per cell]  3 Ru 2.79
4 Mg 0.0795 0.0795 0.4205 [16 per cell]  3 Mg 3.04, 3 Tm 3.27
5 Ru 0.1393 0.1393 0.8607 [16 per cell]  6 Tm 2.74-2.79


(5)
A plane-wave DFT calculation with GGA-PBE was carried out for a relaxed structure of Tm2MgU2Ru5.

VASP energy in eV/atom: -8.141
DOS at the Fermi energy in states/eV/cell: 17.351
Formation energy from the elements in eV per atom: -0.192
Spin magnetization in μB/atom: 0.00

Cell: 10.7842 10.7842 3.3004 Å, 90.00 90.00 90.00°
Closest atoms and distances in Å follow each position.
Space group P4/mbm (No. 127)
Symmetry-distinct sites (fractional):
1 Tm 0.1600 0.3400 0.0000 [4 per cell]  1 U 2.88, 6 Ru 2.95-3.17
2 Mg 0.0000 0.0000 0.0000 [2 per cell]  8 Ru 2.83
3 U 0.1514 0.6514 0.0000 [4 per cell]  4 Ru 2.50
4 Ru 0.0000 0.5000 0.5000 [2 per cell]  4 U 2.84, 4 Tm 2.95
5 Ru 0.0523 0.7939 0.5000 [8 per cell]  2 U 2.50


(6)
A plane-wave DFT calculation with GGA-PBE was carried out for a relaxed structure of YTmMgRu.

VASP energy in eV/atom: -5.665
DOS at the Fermi energy in states/eV/cell: 14.758
Formation energy from the elements in eV per atom: -0.214
Spin magnetization in μB/atom: 0.00

Cell: 7.0675 7.0675 7.0675 Å, 90.00 90.00 90.00°
Closest atoms and distances in Å follow each position.
Space group F-43m (No. 216)
Symmetry-distinct sites (fractional):
1 Y 0.0000 0.0000 0.0000 [4 per cell]  4 Ru 3.06, 4 Mg 3.06
2 Tm 0.0000 0.0000 0.5000 [4 per cell]  4 Ru 3.06, 4 Mg 3.06
3 Mg 0.2500 0.2500 0.2500 [4 per cell]  4 Tm 3.06, 4 Y 3.06
4 Ru 0.2500 0.2500 0.7500 [4 per cell]  4 Y 3.06, 4 Tm 3.06


- What is the formula in the third record?
  Tm5Mg4Ru


- Among the records above, which one has the highest DOS at the Fermi energy?
  Tm4MgRu


Repeat the fourth record exactly.
A plane-wave DFT calculation with GGA-PBE was carried out for a relaxed structure of Tm4MgRu.

VASP energy in eV/atom: -5.061
DOS at the Fermi energy in states/eV/cell: 94.360
Formation energy from the elements in eV per atom: -0.268
Spin magnetization in μB/atom: 0.00

Cell: 13.5314 13.5314 13.5314 Å, 90.00 90.00 90.00°
Closest atoms and distances in Å follow each position.
Space group F-43m (No. 216)
Symmetry-distinct sites (fractional):
1 Tm 0.0000 0.0000 0.1870 [24 per cell]  2 Ru 2.74
2 Tm 0.0618 0.2500 0.2500 [24 per cell]  2 Mg 3.27, 2 Ru 3.45, 10 Tm 3.45-3.60
3 Tm 0.1561 0.1561 0.6561 [16 per cell]  3 Ru 2.79
4 Mg 0.0795 0.0795 0.4205 [16 per cell]  3 Mg 3.04, 3 Tm 3.27
5 Ru 0.1393 0.1393 0.8607 [16 per cell]  6 Tm 2.74-2.79


- Among the records above, which one has the highest VASP energy?
  Tm5Mg4Ru